Record 1
Below is an optimized crystal structure of Gd2HoTl, with properties calculated at the PBE level.

Computed properties:
As for the excess energy over the best structure of this formula in the dataset: 0.292 eV/atom. The value obtained for the formation energy is 0.077 eV per atom. For the total DFT energy (no corrections), the calculation gives -8.700 eV/atom.

a = 12.265 Å, b = 12.265 Å, c = 12.265 Å
α = 16.59°, β = 16.59°, γ = 16.59°
Fractional coordinates of all 4 atoms:
Gd: 0.089 0.089 0.089
Gd: 0.911 0.911 0.911
Ho: 0.500 0.500 0.500
Tl: 0.000 0.000 0.000

=====

Record 2
Below is an optimized crystal structure of Gd2HoTl, with properties calculated at the PBE level.

Computed properties:
As for the excess energy over the best structure of this formula in the dataset: 0.135 eV/atom. The value obtained for the formation energy is -0.080 eV per atom. For the total DFT energy (no corrections), the calculation gives -8.856 eV/atom.

a = 5.486 Å, b = 5.486 Å, c = 5.486 Å
α = 60.00°, β = 60.00°, γ = 60.00°
Fractional coordinates of all 4 atoms:
Gd: 0.250 0.250 0.250
Gd: 0.750 0.750 0.750
Ho: 0.000 0.000 0.000
Tl: 0.500 0.500 0.500

=====

Record 3
Below is an optimized crystal structure of Gd2HoTl, with properties calculated at the PBE level.

Computed properties:
As for the excess energy over the best structure of this formula in the dataset: 0.000 eV/atom. The value obtained for the formation energy is -0.215 eV per atom. For the total DFT energy (no corrections), the calculation gives -8.992 eV/atom.

a = 4.840 Å, b = 4.840 Å, c = 4.911 Å
α = 90.00°, β = 90.00°, γ = 90.00°
Fractional coordinates of all 4 atoms:
Gd: 0.000 0.500 0.000
Gd: 0.500 0.000 0.000
Ho: 0.000 0.000 0.500
Tl: 0.500 0.500 0.500

=====

Record 4
Below is an optimized crystal structure of GdHoTmTl, with properties calculated at the PBE level.

Computed properties:
The value obtained for the formation energy is -0.057 eV per atom. For the total DFT energy (no corrections), the calculation gives -6.431 eV/atom.

a = 5.448 Å, b = 5.448 Å, c = 5.448 Å
α = 60.00°, β = 60.00°, γ = 60.00°
Fractional coordinates of all 4 atoms:
Gd: 0.000 0.000 0.000
Ho: 0.500 0.500 0.500
Tm: 0.250 0.250 0.250
Tl: 0.750 0.750 0.750

=====

Record 5
Below is an optimized crystal structure of GdYHoTl, with properties calculated at the PBE level.

Computed properties:
The value obtained for the formation energy is -0.065 eV per atom. For the total DFT energy (no corrections), the calculation gives -6.937 eV/atom.

a = 5.480 Å, b = 5.480 Å, c = 5.480 Å
α = 60.00°, β = 60.00°, γ = 60.00°
Fractional coordinates of all 4 atoms:
Gd: 0.000 0.000 0.000
Y: 0.500 0.500 0.500
Ho: 0.250 0.250 0.250
Tl: 0.750 0.750 0.750

=====

Record 6
Below is an optimized crystal structure of GdHo2Tm, with properties calculated at the PBE level.

Computed properties:
As for the excess energy over the best structure of this formula in the dataset: 0.101 eV/atom. The value obtained for the formation energy is 0.124 eV per atom. For the total DFT energy (no corrections), the calculation gives -6.803 eV/atom.

a = 5.631 Å, b = 5.631 Å, c = 5.631 Å
α = 60.00°, β = 60.00°, γ = 60.00°
Fractional coordinates of all 4 atoms:
Gd: 0.000 0.000 0.000
Ho: 0.250 0.250 0.250
Ho: 0.750 0.750 0.750
Tm: 0.500 0.500 0.500

=====

Record 7
Below is an optimized crystal structure of GdHo2Tm, with properties calculated at the PBE level.

Computed properties:
As for the excess energy over the best structure of this formula in the dataset: 0.002 eV/atom. The value obtained for the formation energy is 0.025 eV per atom. For the total DFT energy (no corrections), the calculation gives -6.901 eV/atom.

a = 11.676 Å, b = 11.676 Å, c = 11.676 Å
α = 17.40°, β = 17.40°, γ = 17.40°
Fractional coordinates of all 4 atoms:
Gd: 0.000 0.000 0.000
Ho: 0.249 0.249 0.249
Ho: 0.751 0.751 0.751
Tm: 0.500 0.500 0.500

=====

Record 8
Below is an optimized crystal structure of GdHoTm, with properties calculated at the PBE level.

Computed properties:
As for the excess energy over the best structure of this formula in the dataset: 0.000 eV/atom. The value obtained for the formation energy is 0.025 eV per atom. For the total DFT energy (no corrections), the calculation gives -7.685 eV/atom.

a = 7.894 Å, b = 7.894 Å, c = 7.894 Å
α = 154.13°, β = 154.13°, γ = 36.91°
Fractional coordinates of all 3 atoms:
Gd: 0.000 0.000 0.000
Ho: 0.331 0.331 0.000
Tm: 0.668 0.668 0.000

=====

no.,DOS at the Fermi energy (states/eV/cell)
1,4.4
2,4.0
3,3.6
4,4.7
5,4.7
6,8.0
7,6.2
8,4.6